# 1
First-principles (PBE) data for a relaxed SrW4 crystal, as listed in Alexandria.

As for the energy above the lowest structure with this stoichiometry: 0.00 kJ/mol of atoms.

Cell: 6.5141 6.5141 6.5141 Å, 141.10 141.10 56.19°
With the nearest neighbours (Å) after each atom.
Fractional positions:
Sr (0.0000, 0.0000, 0.0000)  16 W 3.38-3.60
W (0.2500, 0.7500, 0.5000)  4 W 2.61
W (0.3758, 0.3758, 0.0000)  5 W 2.61-2.85
W (0.6242, 0.6242, 0.0000)  5 W 2.61-2.85
W (0.7500, 0.2500, 0.5000)  4 W 2.61


# 2
First-principles (PBE) data for a relaxed SrW3 crystal, as listed in Alexandria.

As for the energy above the lowest structure with this stoichiometry: 38.98 kJ/mol of atoms.

Cell: 5.7070 5.7070 5.7070 Å, 117.51 117.51 117.51°
With the nearest neighbours (Å) after each atom.
Fractional positions:
Sr (0.0000, 0.0000, 0.0000)  2 Sr 2.73, 6 W 2.96
W (0.0000, 0.5000, 0.5000)  6 W 2.73-2.96, 2 Sr 2.96
W (0.5000, 0.0000, 0.5000)  6 W 2.73-2.96, 2 Sr 2.96
W (0.5000, 0.5000, 0.0000)  6 W 2.73-2.96, 2 Sr 2.96


# 3
First-principles (PBE) data for a relaxed Sr2W3 crystal, as listed in Alexandria.

Cell: 13.2663 13.2663 13.2663 Å, 13.73 13.73 13.73°
With the nearest neighbours (Å) after each atom.
Fractional positions:
Sr (0.0981, 0.0981, 0.0981)  6 Sr 3.17, 6 W 3.26-3.51
Sr (0.9019, 0.9019, 0.9019)  6 Sr 3.17, 6 W 3.26-3.51
W (0.3110, 0.3110, 0.3110)  3 W 2.54
W (0.5000, 0.5000, 0.5000)  6 W 3.17, 6 Sr 3.26
W (0.6890, 0.6890, 0.6890)  3 W 2.54


# 4
First-principles (PBE) data for a relaxed Sr3W crystal, as listed in Alexandria.

As for the energy above the lowest structure with this stoichiometry: 76.88 kJ/mol of atoms.

Cell: 5.9371 5.9371 5.9371 Å, 90.00 90.00 90.00°
With the nearest neighbours (Å) after each atom.
Fractional positions:
Sr (0.0000, 0.0000, 0.5000)  2 W 2.97
Sr (0.0000, 0.5000, 0.0000)  2 W 2.97
Sr (0.5000, 0.0000, 0.0000)  2 W 2.97
W (0.0000, 0.0000, 0.0000)  6 Sr 2.97


# 5
First-principles (PBE) data for a relaxed Sr3W crystal, as listed in Alexandria.

As for the energy above the lowest structure with this stoichiometry: 51.83 kJ/mol of atoms.

Cell: 5.8846 7.4801 6.5267 Å, 90.00 90.00 90.00°
With the nearest neighbours (Å) after each atom.
Fractional positions:
Sr (0.2500, 0.9999, 0.1722)  7 Sr 3.52-3.74, 4 W 3.60-3.88
Sr (0.2500, 0.2500, 0.6292)  6 Sr 3.52-3.72, 4 W 3.62-3.76
Sr (0.2500, 0.5001, 0.1722)  7 Sr 3.52-3.74, 4 W 3.60-3.88
Sr (0.7500, 0.0001, 0.8278)  7 Sr 3.52-3.74, 4 W 3.60-3.88
Sr (0.7500, 0.4999, 0.8278)  7 Sr 3.52-3.74, 4 W 3.60-3.88
Sr (0.7500, 0.7500, 0.3708)  6 Sr 3.52-3.72, 4 W 3.62-3.76
W (0.2500, 0.7500, 0.6933)  12 Sr 3.60-3.88
W (0.7500, 0.2500, 0.3067)  12 Sr 3.60-3.88


# 6
First-principles (PBE) data for a relaxed Sr4W crystal, as listed in Alexandria.

As for the energy above the lowest structure with this stoichiometry: 0.00 kJ/mol of atoms.

Cell: 6.0875 6.0875 6.0875 Å, 90.00 90.00 90.00°
With the nearest neighbours (Å) after each atom.
Fractional positions:
Sr (0.0000, 0.0000, 0.0000)  12 Sr 4.30
Sr (0.0000, 0.5000, 0.5000)  2 W 3.04
Sr (0.5000, 0.0000, 0.5000)  2 W 3.04
Sr (0.5000, 0.5000, 0.0000)  2 W 3.04
W (0.5000, 0.5000, 0.5000)  6 Sr 3.04


no.,energy relative to the elements (eV per atom)
1,0.72
2,1.18
3,1.27
4,1.31
5,1.05
6,0.86